## Ni2HgHPd (PBE)

Data for Ni2HgHPd after structural relaxation.

```
Ni2HgHPd
1.0
-1.9257 3.1549 1.3185
-2.4312 -0.1993 -3.0740
-2.3847 -2.3063 2.0356
Hg Pd Ni H
1 1 2 1
Direct
0.5000 0.5000 0.5000
0.0000 0.0000 0.5000
0.0000 0.5000 0.0000
0.5000 0.0000 0.0000
0.0000 0.0000 0.0000
```

Properties
Raw total energy   -4.0488 eV per atom

---

## NiHgHPt2 (PBE)

Data for NiHgHPt2 after structural relaxation.

```
NiHgHPt2
1.0
-2.5706 -2.7933 1.3942
3.0811 -1.9787 1.7164
-0.5010 2.1431 3.3699
Pt H Ni Hg
2 1 1 1
Direct
0.5000 0.0000 0.0000
0.0000 0.5000 0.0000
0.0000 0.0000 0.0000
0.0000 0.0000 0.5000
0.5000 0.5000 0.5000
```

Properties
Raw total energy   -4.2569 eV per atom

---

## Ni2HgHRh (PBE)

Data for Ni2HgHRh after structural relaxation.

```
Ni2HgHRh
1.0
3.9368 0.0000 0.0000
0.0000 3.9368 0.0000
0.0000 0.0000 3.8033
H Ni Rh Hg
1 2 1 1
Direct
0.0000 0.0000 0.0000
0.0000 0.5000 0.0000
0.5000 0.0000 0.0000
0.0000 0.0000 0.5000
0.5000 0.5000 0.5000
```

Properties
Raw total energy   -4.4263 eV per atom

---

## NiHgSbH2 (PBE)

Data for NiHgSbH2 after structural relaxation.

```
NiHgSbH2
1.0
-1.7830 1.0512 -3.3194
-1.9924 -4.7541 -0.4352
-3.1390 1.1285 2.0435
H Sb Hg Ni
2 1 1 1
Direct
0.0000 0.0000 0.5000
0.5000 0.0000 0.0000
0.5000 0.5000 0.5000
0.0000 0.5000 0.0000
0.0000 0.0000 0.0000
```

Properties
Raw total energy   -2.6951 eV per atom

---

## ScNi2HgH (PBE)

Data for ScNi2HgH after structural relaxation.

```
ScNi2HgH
1.0
4.0026 0.0000 0.0000
0.0000 4.0026 0.0000
0.0000 0.0000 4.0390
Ni H Hg Sc
2 1 1 1
Direct
0.5000 0.0000 0.0000
0.0000 0.5000 0.0000
0.0000 0.0000 0.0000
0.5000 0.5000 0.5000
0.0000 0.0000 0.5000
```

Properties
Raw total energy   -4.4745 eV per atom

---

## ZrNiHg2H (PBE)

Data for ZrNiHg2H after structural relaxation.

```
ZrNiHg2H
1.0
4.9292 0.0000 0.0000
0.0000 4.6927 0.0000
0.0000 0.0000 4.9292
Ni Hg H Zr
1 2 1 1
Direct
0.0000 0.0000 0.0000
0.5000 0.0000 0.0000
0.0000 0.0000 0.5000
0.5000 0.5000 0.5000
0.0000 0.5000 0.0000
```

Properties
Raw total energy   -3.0553 eV per atom